Here is crystalline NaSnPbI6 at its relaxed geometry from Alexandria via LeMat-Bulk. Energies are from GGA-PBE.

Values from the calculation:
Its uncorrected formation energy is -603 meV per atom. Its space group is No. 102. As for the total magnetization: 0.0 Bohr magnetons per cell.

Cell: 7.4907 7.4907 14.1797 Å, 90.00 90.00 90.00°
With the nearest neighbours (Å) after each atom.
Fractional coordinates of all 18 atoms:
Sn 0.5000 0.5000 0.1666  6 I 3.05-3.07
Sn 0.0000 0.0000 0.6666  6 I 3.05-3.07
I 0.3055 0.3055 0.0072  1 Sn 3.06, 1 Na 3.22, 1 Pb 3.24
I 0.2099 0.7901 0.1673  1 Sn 3.07, 1 Na 3.24, 1 Pb 3.24
I 0.1945 0.8055 0.5072  1 Sn 3.06, 1 Na 3.22, 1 Pb 3.24
I 0.2901 0.2901 0.6673  1 Sn 3.07, 1 Na 3.24, 1 Pb 3.24
I 0.6945 0.6945 0.0072  1 Sn 3.06, 1 Na 3.22, 1 Pb 3.24
I 0.7901 0.2099 0.1673  1 Sn 3.07, 1 Na 3.24, 1 Pb 3.24
I 0.1942 0.8058 0.8252  1 Sn 3.05, 1 Pb 3.23, 1 Na 3.24
I 0.8055 0.1945 0.5072  1 Sn 3.06, 1 Na 3.22, 1 Pb 3.24
I 0.6942 0.6942 0.3252  1 Sn 3.05, 1 Pb 3.23, 1 Na 3.24
I 0.7099 0.7099 0.6673  1 Sn 3.07, 1 Na 3.24, 1 Pb 3.24
I 0.8058 0.1942 0.8252  1 Sn 3.05, 1 Pb 3.23, 1 Na 3.24
I 0.3058 0.3058 0.3252  1 Sn 3.05, 1 Pb 3.23, 1 Na 3.24
Na 0.5000 0.5000 0.8331  6 I 3.22-3.24
Na 0.0000 0.0000 0.3331  6 I 3.22-3.24
Pb 0.0000 0.0000 0.0009  6 I 3.23-3.24
Pb 0.5000 0.5000 0.5009  6 I 3.23-3.24